Record 1
Crystalline PmNdB at its relaxed geometry. Source: OQMD, functional PBE.

Unit cell a=4.6642 b=4.6642 c=4.6642 alpha=60.00 beta=60.00 gamma=60.00
Fractional positions:
B  0.0000  0.0000  0.0000
Nd  0.2500  0.2500  0.2500
Pm  0.7500  0.7500  0.7500

The magnetic moment is 0.16 μB/f.u. Its space-group type is F-43m, No. 216. The relative energy among the computed polymorphs is 0 meV per atom. The crystal system is cubic.


Record 2
Crystalline FeSb2Se4Br at its relaxed geometry. Source: OQMD, functional PBE.

Unit cell a=10.7733 b=10.7733 c=12.3151 alpha=122.21 beta=122.21 gamma=20.97
Site moments in Bohr magnetons follow the coordinates.
Fractional positions:
Br  0.8796  0.8796  0.4682  0.09
Br  0.1204  0.1204  0.5318  0.09
Fe  0.6765  0.6765  0.4452  2.73
Fe  0.3235  0.3235  0.5548  2.73
Sb  0.7051  0.7051  0.0895  0.00
Sb  0.9681  0.9681  0.2434  0.00
Sb  0.0319  0.0319  0.7566  0.00
Sb  0.2949  0.2949  0.9105  0.00
Se  0.0933  0.0933  0.0115  -0.01
Se  0.3256  0.3256  0.1474  0.00
Se  0.5551  0.5551  0.2360  -0.03
Se  0.2073  0.2073  0.3554  0.04
Se  0.7927  0.7927  0.6446  0.04
Se  0.4449  0.4449  0.7640  -0.03
Se  0.6744  0.6744  0.8526  0.00
Se  0.9067  0.9067  0.9885  -0.01

The magnetic moment is 2.96 μB/f.u. As for the energy: -4.27 eV per atom. Its space-group type is C2/m, No. 12. The crystal system is monoclinic.


Record 3
Crystalline K2Pd3Pb2 at its relaxed geometry. Source: OQMD, functional PBE.

Unit cell a=8.1030 b=8.1030 c=8.1030 alpha=109.47 beta=109.47 gamma=109.47
Fractional positions:
K  0.5471  0.5000  0.0000
K  0.0000  0.5471  0.5000
K  0.5000  0.0000  0.5471
K  0.9529  0.9529  0.9529
Pb  0.9614  0.5000  0.0000
Pb  0.0000  0.9614  0.5000
Pb  0.5386  0.5386  0.5386
Pb  0.5000  0.0000  0.9614
Pd  0.3337  0.7500  0.0837
Pd  0.2500  0.4163  0.1663
Pd  0.4163  0.1663  0.2500
Pd  0.7500  0.0837  0.3337
Pd  0.1663  0.2500  0.4163
Pd  0.0837  0.3337  0.7500

As for the energy: -3.67 eV per atom. Its space-group type is I2_13, No. 199. The crystal system is cubic.


Record 4
Crystalline K2HgSbBr6 at its relaxed geometry. Source: OQMD, functional PBE.

Unit cell a=8.1396 b=8.1396 c=8.1396 alpha=60.00 beta=60.00 gamma=60.00
Fractional positions:
Br  0.2565  0.7435  0.2565
Br  0.7435  0.2565  0.2565
Br  0.7435  0.7435  0.2565
Br  0.2565  0.2565  0.7435
Br  0.7435  0.2565  0.7435
Br  0.2565  0.7435  0.7435
Hg  0.0000  0.0000  0.0000
K  0.2500  0.2500  0.2500
K  0.7500  0.7500  0.7500
Sb  0.5000  0.5000  0.5000

As for the energy: -2.62 eV per atom. Its space-group type is Fm-3m, No. 225. The crystal system is cubic.